# 1
Material: MgHgH
Method: DFT, PBE-GGA
State: optimized geometry

Computed properties:
* total DFT energy (no corrections): -0.133 Ry per atom
* N(E_F): 0.493 states/eV per atom
* magnetization: 0.0 μB per formula unit

```
6
Lattice="1.6893 0.9753 9.5590 -1.6893 0.9753 9.5590 0.0000 -1.9506 9.5590" Properties=species:S:1:pos:R:3 pbc="T T T"
Mg 0.0000 0.0000 3.4376
Mg 0.0000 0.0000 25.2395
Hg 0.0000 0.0000 10.7926
Hg 0.0000 0.0000 17.8844
H 0.0000 0.0000 5.4977
H 0.0000 0.0000 23.1794
```



# 2
Material: BeIn2Ni
Method: DFT, PBE-GGA
State: optimized geometry

Computed properties:
* total DFT energy (no corrections): -0.256 Ry per atom
* N(E_F): 0.314 states/eV per atom
* magnetization: 0.0 μB per formula unit
* formation enthalpy at 0 K: 0.265 eV/atom

```
4
Lattice="3.2449 0.0000 0.0000 0.0000 3.4598 0.0000 0.0000 0.0000 5.7440" Properties=species:S:1:pos:R:3 pbc="T T T"
Be 0.0000 0.0000 0.0000
In 1.6225 1.7299 1.4374
In 1.6225 1.7299 4.3066
Ni 0.0000 0.0000 2.8720
```



# 3
Material: GaBi3
Method: DFT, PBE-GGA
State: optimized geometry

Computed properties:
* total DFT energy (no corrections): -0.262 Ry per atom
* N(E_F): 0.443 states/eV per atom
* magnetization: 0.0 μB per formula unit
* formation enthalpy at 0 K: 0.107 eV/atom

```
4
Lattice="4.9057 0.0000 0.0000 0.0000 4.9057 0.0000 0.0000 0.0000 4.9057" Properties=species:S:1:pos:R:3 pbc="T T T"
Ga 0.0000 0.0000 0.0000
Bi 0.0000 2.4529 2.4529
Bi 2.4529 0.0000 2.4529
Bi 2.4529 2.4529 0.0000
```



# 4
Material: ScIrOs2
Method: DFT, PBE-GGA
State: optimized geometry

Computed properties:
* total DFT energy (no corrections): -0.702 Ry per atom
* N(E_F): 1.009 states/eV per atom
* magnetization: 0.0 μB per formula unit
* formation enthalpy at 0 K: -0.134 eV/atom

```
4
Lattice="4.6431 -1.4022 0.0000 4.6431 1.4022 0.0000 -0.8362 0.0000 4.7662" Properties=species:S:1:pos:R:3 pbc="T T T"
Sc 0.0000 0.0000 0.0000
Ir 1.6260 0.0000 3.6659
Os 4.2594 0.0000 2.3277
Os 6.8329 0.0000 1.4514
```



# 5
Material: ThAs2Pb
Method: DFT, PBE-GGA
State: optimized geometry

Computed properties:
* total DFT energy (no corrections): -0.424 Ry per atom
* magnetization: 0.0 μB per formula unit
* formation enthalpy at 0 K: -0.665 eV/atom

```
4
Lattice="2.1626 1.2486 7.2863 -2.1626 1.2486 7.2863 0.0000 -2.4971 7.2863" Properties=species:S:1:pos:R:3 pbc="T T T"
Th 0.0000 0.0000 0.0000
As 0.0000 0.0000 8.8429
As 0.0000 0.0000 12.8523
Pb 0.0000 0.0000 3.7701
```



# 6
Material: ZnCoH2
Method: DFT, PBE-GGA
State: optimized geometry

Computed properties:
* total DFT energy (no corrections): -0.269 Ry per atom
* N(E_F): 0.434 states/eV per atom
* magnetization: 0.0 μB per formula unit

```
4
Lattice="1.3765 0.7947 4.7366 -1.3765 0.7947 4.7366 0.0000 -1.5894 4.7366" Properties=species:S:1:pos:R:3 pbc="T T T"
Zn 0.0000 0.0000 0.0000
Co 0.0000 0.0000 2.5620
H 0.0000 0.0000 7.8122
H 0.0000 0.0000 11.3207
```



# 7
Material: FeCoMo2
Method: DFT, PBE-GGA
State: optimized geometry

Computed properties:
* total DFT energy (no corrections): -0.668 Ry per atom
* N(E_F): 1.251 states/eV per atom
* magnetization: 4.6 μB per formula unit
* formation enthalpy at 0 K: 0.223 eV/atom

```
4
Lattice="0.0000 3.0277 3.0277 3.0277 0.0000 3.0277 3.0277 3.0277 0.0000" Properties=species:S:1:pos:R:3 pbc="T T T"
Fe 0.0000 0.0000 0.0000
Co 4.5416 4.5416 4.5416
Mo 1.5139 1.5139 1.5139
Mo 3.0277 3.0277 3.0277
```



# 8
Material: TbSm3Au4
Method: DFT, PBE-GGA
State: optimized geometry

Computed properties:
* total DFT energy (no corrections): -0.353 Ry per atom
* N(E_F): 0.585 states/eV per atom
* magnetization: 0.0 μB per formula unit
* formation enthalpy at 0 K: -0.811 eV/atom

```
8
Lattice="3.6532 0.0000 0.0000 0.0000 3.6532 0.0000 0.0000 0.0000 14.6656" Properties=species:S:1:pos:R:3 pbc="T T T"
Tb 0.0000 0.0000 0.0000
Sm 0.0000 0.0000 3.6401
Sm 0.0000 0.0000 7.3328
Sm 0.0000 0.0000 11.0255
Au 1.8266 1.8266 1.7445
Au 1.8266 1.8266 5.4948
Au 1.8266 1.8266 9.1708
Au 1.8266 1.8266 12.9210
```